SrTmInCl6, relaxed, DFT PBE; uncorrected formation energy = -2.036 eV per atom; total energy = -76.59 eV per cell; space group = P-31c (163)
1.0
7.3145 0.0000 0.0000
-3.6572 6.3345 0.0000
0.0000 0.0000 13.3859
Sr Tm In Cl
2 2 2 12
Cartesian
0.0000 4.2230 3.3465
3.6572 2.1115 10.0394
0.0000 4.2230 10.0394
3.6572 2.1115 3.3465
0.0000 0.0000 0.0000
0.0000 0.0000 6.6929
-1.1795 2.4238 8.5400
-2.1479 4.1011 11.5389
1.1795 2.4238 11.5389
-0.9684 6.1441 8.5400
2.6889 0.1905 1.8470
1.5094 2.2334 4.8459
2.1479 4.1011 8.5400
0.9684 6.1441 11.5389
4.6256 0.1905 4.8459
2.4778 3.9107 1.8470
5.8051 2.2334 1.8470
4.8367 3.9107 4.8459